RbGd2N | PBE | relaxed

The calculation puts the raw formation energy at -49.9 kJ/mol of atoms. The total DFT energy (no corrections) comes out at -9.881 eV per atom.

The space group is R-3m (No. 166, hexagonal axes) and the conventional cell measures 3.6309, 3.6309 and 31.3416 Å, with angles of 90.00, 90.00 and 120.00 degrees. Symmetry generates all atoms from Rb at (0.0000, 0.0000, 0.0000), Gd at (0.0000, 0.0000, 0.1249) and N at (0.0000, 0.0000, 0.5000).